The following is a PBE calculation of a relaxed structure of ReBr, from the Alexandria database.

Output
total moment	0.00	Bohr magnetons per cell
Fermi-level density of states	5.35	states/eV per cell

Unit cell a=3.016 b=3.016 c=12.789 alpha=90.00 beta=90.00 gamma=120.00
Fractional coordinates of all 6 atoms:
Re: 0.000 0.000 0.000
Re: 0.333 0.667 0.667
Re: 0.667 0.333 0.333
Br: 0.000 0.000 0.500
Br: 0.333 0.667 0.167
Br: 0.667 0.333 0.833

=====

The following is a PBE calculation of a relaxed structure of Tl3Ge, from the Alexandria database.

Output
total moment	0.00	Bohr magnetons per cell
Fermi-level density of states	1.10	states/eV per cell
DFT formation energy	0.1759	eV per atom

Unit cell a=4.815 b=4.815 c=4.815 alpha=90.00 beta=90.00 gamma=90.00
Fractional coordinates of all 4 atoms:
Tl: 0.000 0.000 0.500
Tl: 0.000 0.500 0.000
Tl: 0.500 0.000 0.000
Ge: 0.500 0.500 0.500

=====

The following is a PBE calculation of a relaxed structure of TcAsW2, from the Alexandria database.

Output
total moment	0.00	Bohr magnetons per cell
Fermi-level density of states	2.78	states/eV per cell
DFT formation energy	0.2211	eV per atom

Unit cell a=2.882 b=4.428 c=5.092 alpha=90.00 beta=104.56 gamma=90.00
Fractional coordinates of all 4 atoms:
Tc: 0.000 0.000 0.000
As: 0.955 0.500 0.764
W: 0.445 0.000 0.503
W: 0.656 0.500 0.240

=====

The following is a PBE calculation of a relaxed structure of ZnCo2Pt, from the Alexandria database.

Output
total moment	3.14	Bohr magnetons per cell
Fermi-level density of states	5.76	states/eV per cell
DFT formation energy	0.0110	eV per atom

Unit cell a=4.353 b=4.353 c=2.731 alpha=90.00 beta=90.00 gamma=90.00
Fractional coordinates of all 4 atoms:
Zn: 0.000 0.000 0.000
Co: 0.000 0.500 0.500
Co: 0.500 0.000 0.500
Pt: 0.500 0.500 0.000

=====

Number 1: VASP energy -5.69 eV per atom. Number 2: VASP energy -2.75 eV per atom. Number 3: VASP energy -10.01 eV per atom. Number 4: VASP energy -5.37 eV per atom.